# Pr3Sm4Sc2 (PBE, optimized geometry)
# E above lowest polymorph = 66 meV per atom
# Space-group type = P3m1 (156)
# Density of states at the Fermi level = 1.818 states/eV/atom
# E = -4.988 eV/atom
# Volume = 294.9 Å³/cell
data_Pr3Sm4Sc2
_space_group_name_H-M_alt 'P 1'
_space_group_IT_number 1
_cell_length_a 3.579
_cell_length_b 3.579
_cell_length_c 26.581
_cell_angle_alpha 90.00
_cell_angle_beta 90.00
_cell_angle_gamma 120.00
loop_
_space_group_symop_operation_xyz
'x,y,z'
loop_
_atom_site_label
_atom_site_type_symbol
_atom_site_fract_x
_atom_site_fract_y
_atom_site_fract_z
Pr1 Pr 0.000 0.000 0.000
Pr2 Pr 0.000 0.000 0.333
Pr3 Pr 0.667 0.333 0.677
Sm1 Sm 0.000 0.000 0.561
Sm2 Sm 0.000 0.000 0.793
Sm3 Sm 0.667 0.333 0.223
Sm4 Sm 0.667 0.333 0.451
Sc1 Sc 0.667 0.333 0.102
Sc2 Sc 0.667 0.333 0.893